w) Material: TmFeRe
Method: DFT, GGA-PBE
State: optimized geometry

a b c (Å): 5.1541 5.2540 7.5396
angles (deg): 90.00 90.00 90.00
Closest atoms and distances in Å follow each position.
Atoms (fractional coordinates):
Tm 0.0000 0.2500 0.1240  6 Fe 3.04-3.12, 6 Re 3.08-3.10, 4 Tm 3.20-3.22
Tm 0.0000 0.7500 0.8760  6 Fe 3.04-3.12, 6 Re 3.08-3.10, 4 Tm 3.20-3.22
Tm 0.5000 0.2500 0.3760  6 Fe 3.04-3.12, 6 Re 3.08-3.10, 4 Tm 3.20-3.22
Tm 0.5000 0.7500 0.6240  6 Fe 3.04-3.12, 6 Re 3.08-3.10, 4 Tm 3.20-3.22
Fe 0.0000 0.0000 0.5000  2 Fe 2.63, 4 Re 2.63
Fe 0.0000 0.5000 0.5000  2 Fe 2.63, 4 Re 2.63
Fe 0.5000 0.0000 0.0000  2 Fe 2.63, 4 Re 2.63
Fe 0.5000 0.5000 0.0000  2 Fe 2.63, 4 Re 2.63
Re 0.2500 0.2500 0.7500  2 Re 2.58, 4 Fe 2.63
Re 0.2500 0.7500 0.2500  2 Re 2.58, 4 Fe 2.63
Re 0.7500 0.2500 0.7500  2 Re 2.58, 4 Fe 2.63
Re 0.7500 0.7500 0.2500  2 Re 2.58, 4 Fe 2.63

Summary:
V ... 51 Å³/f.u.



x) Material: TmFeRe
Method: DFT, GGA-PBE
State: optimized geometry

a b c (Å): 4.1486 10.3235 4.8328
angles (deg): 90.00 90.00 90.00
Closest atoms and distances in Å follow each position.
Atoms (fractional coordinates):
Tm 0.0000 0.1150 0.2500  4 Fe 2.56-2.84, 2 Re 2.87
Tm 0.0000 0.8850 0.7500  4 Fe 2.56-2.84, 2 Re 2.87
Tm 0.5000 0.3850 0.7500  4 Fe 2.56-2.84, 2 Re 2.87
Tm 0.5000 0.6150 0.2500  4 Fe 2.56-2.84, 2 Re 2.87
Fe 0.0000 0.1974 0.7500  2 Re 2.42, 2 Tm 2.56
Fe 0.0000 0.8026 0.2500  2 Re 2.42, 2 Tm 2.56
Fe 0.5000 0.3026 0.2500  2 Re 2.42, 2 Tm 2.56
Fe 0.5000 0.6974 0.7500  2 Re 2.42, 2 Tm 2.56
Re 0.0000 0.4230 0.2500  2 Fe 2.42
Re 0.0000 0.5770 0.7500  2 Fe 2.42
Re 0.5000 0.0770 0.7500  2 Fe 2.42
Re 0.5000 0.9230 0.2500  2 Fe 2.42

Summary:
V ... 52 Å³/f.u.



Most stable: w)



w) Material: UFeRe
Method: DFT, GGA-PBE
State: optimized geometry

a b c (Å): 2.7837 2.7837 7.1197
angles (deg): 90.00 90.00 120.00
Closest atoms and distances in Å follow each position.
Atoms (fractional coordinates):
U 0.0000 0.0000 0.0000  6 U 2.78, 3 Fe 2.92
Fe 0.3333 0.6667 0.6580  3 Re 2.54, 6 Fe 2.78
Re 0.6667 0.3333 0.3809  3 Fe 2.54, 6 Re 2.78

Summary:
V ... 48 Å³/f.u.



x) Material: UFeRe
Method: DFT, GGA-PBE
State: optimized geometry

a b c (Å): 2.7613 2.7613 12.2752
angles (deg): 90.00 90.00 90.00
Closest atoms and distances in Å follow each position.
Atoms (fractional coordinates):
U 0.0000 0.0000 0.0000  4 U 2.76, 4 Fe 2.88
U 0.5000 0.5000 0.5000  4 U 2.76, 4 Fe 2.88
Fe 0.0000 0.0000 0.6728  4 Re 2.50, 4 Fe 2.76
Fe 0.5000 0.5000 0.1728  4 Re 2.50, 4 Fe 2.76
Re 0.0000 0.0000 0.3001  4 Fe 2.50, 4 Re 2.76
Re 0.5000 0.5000 0.8001  4 Fe 2.50, 4 Re 2.76

Summary:
V ... 47 Å³/f.u.



Most stable: x)